(1)
This record from Alexandria describes Pm2ZnGa2Rh5 after structural relaxation. The functional is PBE.

Uncorrected energy   -6.023 eV/atom
Total moment   0.000 μB per atom

abc: 9.8999 9.8999 3.5395
angles: 90.00 90.00 90.00
With the nearest neighbours (Å) after each atom.
Space group P4/mbm (No. 127)
Symmetry-distinct sites (fractional):
Pm (0.1744, 0.3256, 0.0000) x4  3 Ga 2.81-3.00, 6 Rh 3.02-3.14
Zn (0.0000, 0.0000, 0.0000) x2  8 Rh 2.75
Ga (0.1250, 0.6250, 0.0000) x4  6 Rh 2.49-2.53
Rh (0.0000, 0.5000, 0.5000) x2  4 Ga 2.49
Rh (0.0648, 0.7972, 0.5000) x8  2 Ga 2.53, 2 Zn 2.75



(2)
This record from Alexandria describes PmSmCl6 after structural relaxation. The functional is PBE.

ΔE_f (raw)   -2.2418 eV per atom
Total moment   0.000 μB per atom

abc: 6.8334 6.8334 12.6424
angles: 90.00 90.00 120.00
With the nearest neighbours (Å) after each atom.
Space group P-31c (No. 163)
Symmetry-distinct sites (fractional):
Pm (0.3333, 0.6667, 0.2500) x2  6 Cl 2.74
Sm (0.0000, 0.0000, 0.0000) x2  6 Cl 2.72
Cl (0.0154, 0.3333, 0.1240) x12  1 Sm 2.72, 1 Pm 2.74



(3)
This record from Alexandria describes ThZn9Pd2 after structural relaxation. The functional is PBE.

Total moment   0.000 μB per atom
Energy relative to the lowest polymorph listed for this composition   0 meV per atom

abc: 10.6419 10.6419 6.8987
angles: 90.00 90.00 90.00
With the nearest neighbours (Å) after each atom.
Space group I4_1/amd (No. 141, origin choice 2)
Symmetry-distinct sites (fractional):
Th (0.0000, 0.2500, 0.3750) x4  18 Zn 3.29-3.45
Zn (0.0000, 0.2500, 0.8750) x4  4 Pd 2.80, 8 Zn 2.89
Zn (0.1213, 0.0442, 0.6772) x32  6 Zn 2.58-2.89, 2 Pd 2.62-2.63
Pd (0.0000, 0.0000, 0.0000) x8  10 Zn 2.62-2.80



(4)
This record from Alexandria describes La8Os3PbI4 after structural relaxation. The functional is PBE.

ΔE_f (raw)   -0.7298 eV per atom
Total moment   0.000 μB per atom

abc: 8.7690 8.7690 24.4047
angles: 90.00 90.00 120.00
With the nearest neighbours (Å) after each atom.
Space group R-3m (No. 166, hexagonal axes)
Symmetry-distinct sites (fractional):
La (0.0000, 0.0000, 0.2312) x6  3 Os 2.98
La (0.0308, 0.5154, 0.7716) x18  2 Os 2.85, 1 Pb 3.15
Os (0.0000, 0.5000, 0.5000) x9  6 La 2.85-2.98
Pb (0.0000, 0.0000, 0.5000) x3  6 La 3.15
I (0.0000, 0.0000, 0.0000) x3  6 La 3.44
I (0.0000, 0.5000, 0.0000) x9  6 La 3.55-3.69



(5)
This record from Alexandria describes RbTl2P2S7 after structural relaxation. The functional is PBE.

ΔE_f (raw)   -0.3315 eV per atom
Total moment   0.059 μB per atom

abc: 6.3122 6.3122 31.8148
angles: 90.00 90.00 120.00
With the nearest neighbours (Å) after each atom.
Space group R32 (No. 155, hexagonal axes)
Symmetry-distinct sites (fractional):
Rb (0.0000, 0.0000, 0.0000) x3  6 S 3.42
Tl (0.0000, 0.0000, 0.1829) x6  3 S 3.06
P (0.0000, 0.0000, 0.4284) x6  3 S 2.01
S (0.0000, 0.0000, 0.5000) x3  2 P 2.28
S (0.0146, 0.3690, 0.0802) x18  1 P 2.01



(6)
This record from Alexandria describes MnBeIr2 after structural relaxation. The functional is PBE.

Uncorrected energy   -7.843 eV/atom
Total moment   0.913 μB per atom

abc: 2.8170 4.4783 8.1908
angles: 90.00 90.00 90.00
With the nearest neighbours (Å) after each atom.
Space group Immm (No. 71)
Symmetry-distinct sites (fractional):
Mn (0.0000, 0.0000, 0.0000) x2  4 Be 2.65, 8 Ir 2.69-2.88, 2 Mn 2.82
Be (0.0000, 0.0000, 0.5000) x2  4 Ir 2.29
Ir (0.0000, 0.5000, 0.2206) x4  2 Be 2.29



(7)
This record from Alexandria describes Na2Tl2CoH6 after structural relaxation. The functional is PBE.

Uncorrected energy   -3.162 eV/atom
Total moment   0.000 μB per atom

abc: 5.3646 9.2714 6.4987
angles: 90.00 95.24 90.00
With the nearest neighbours (Å) after each atom.
Space group C2/m (No. 12)
Symmetry-distinct sites (fractional):
Na (0.0000, 0.1637, 0.0000) x4  6 H 2.25-2.33
Tl (0.0000, 0.3392, 0.5000) x4  2 H 2.56
Co (0.0000, 0.5000, 0.0000) x2  6 H 1.56
H (0.1399, 0.3834, 0.1392) x8  1 Co 1.56
H (0.2136, 0.5000, 0.8527) x4  1 Co 1.56



(8)
This record from Alexandria describes Li8In after structural relaxation. The functional is PBE.

Uncorrected energy   -2.106 eV/atom
Total moment   0.000 μB per atom

abc: 8.6360 8.6360 4.6371
angles: 90.00 90.00 90.00
With the nearest neighbours (Å) after each atom.
Space group I4/mmm (No. 139)
Symmetry-distinct sites (fractional):
Li (0.0000, 0.3305, 0.0000) x8  1 In 2.85, 11 Li 2.92-3.11
Li (0.1615, 0.1615, 0.5000) x8  8 Li 2.79-3.07, 2 In 3.04
In (0.0000, 0.0000, 0.0000) x2  12 Li 2.85-3.04



(9)
This record from Alexandria describes PaTeSe4 after structural relaxation. The functional is PBE.

ΔE_f (raw)   -0.6673 eV per atom
Total moment   0.000 μB per atom
Energy relative to the lowest polymorph listed for this composition   0 meV per atom

abc: 14.9280 4.1031 7.4569
angles: 90.00 118.18 90.00
With the nearest neighbours (Å) after each atom.
Space group C2/m (No. 12)
Symmetry-distinct sites (fractional):
Pa (0.0000, 0.0000, 0.0000) x2  6 Se 2.77-2.86
Te (0.0000, 0.5000, 0.5000) x2  4 Se 2.83
Se (0.1114, 0.0000, 0.4340) x4  2 Te 2.83, 1 Pa 2.86
Se (0.1265, 0.5000, 0.0092) x4  2 Pa 2.77



(10)
This record from Alexandria describes LaNd2ErIn2 after structural relaxation. The functional is PBE.

Uncorrected energy   -4.427 eV/atom
Total moment   0.002 μB per atom

abc: 5.3228 10.1544 6.8727
angles: 90.00 90.00 90.00
With the nearest neighbours (Å) after each atom.
Space group Pmc2_1 (No. 26)
Symmetry-distinct sites (fractional):
La (0.0000, 0.0402, 0.0000) x2  5 In 3.35-3.61, 2 La 3.53, 2 Er 3.59
Nd (0.0000, 0.3213, 0.3603) x2  4 In 3.25-3.33, 2 Nd 3.56
Nd (0.5000, 0.4560, 0.0798) x2  5 In 3.33-3.71, 4 Nd 3.55-3.56, 1 Er 3.67
Er (0.5000, 0.1862, 0.7251) x2  4 In 3.24-3.28, 2 La 3.59
In (0.0000, 0.3537, 0.8301) x2  2 Er 3.24, 4 Nd 3.25-3.33, 1 La 3.39
In (0.5000, 0.1364, 0.2601) x2  2 Er 3.24-3.28, 3 Nd 3.33-3.47, 4 La 3.35-3.61



(11)
This record from Alexandria describes BaCCl3 after structural relaxation. The functional is PBE.

ΔE_f (raw)   0.2807 eV per atom
Total moment   0.200 μB per atom
Energy relative to the lowest polymorph listed for this composition   648 meV per atom

abc: 6.0866 6.0866 6.0866
angles: 90.00 90.00 90.00
With the nearest neighbours (Å) after each atom.
Space group Pm-3m (No. 221)
Symmetry-distinct sites (fractional):
Ba (0.0000, 0.0000, 0.0000) x1  6 Cl 3.04
C (0.5000, 0.5000, 0.5000) x1  12 Cl 4.30
Cl (0.0000, 0.0000, 0.5000) x3  2 Ba 3.04